(1)
LaTb2Pr4Sm | PBE | relaxed

Calculated values
Theoretical density (g/cm³): 6.9
Total DFT energy (no corrections) (eV/atom): -4.74
Density of states at the Fermi level (states/eV/atom): 1.554
ΔH_f (0 K) (eV/atom): 0.017

a = 6.352 Å, b = 3.685 Å, c = 12.148 Å
α = 90.00°, β = 100.24°, γ = 90.00°
Fractional coordinates of all 8 atoms:
La 0.000 0.000 0.000
Tb 0.000 0.500 0.500
Tb 0.500 0.000 0.500
Pr 0.249 0.000 0.747
Pr 0.252 0.500 0.254
Pr 0.748 0.500 0.746
Pr 0.751 0.000 0.253
Sm 0.500 0.500 0.000



(2)
LaTb2PrSm2 | PBE | relaxed

Calculated values
Theoretical density (g/cm³): 7.1
Total DFT energy (no corrections) (eV/atom): -4.48
Density of states at the Fermi level (states/eV/atom): 1.834
ΔH_f (0 K) (eV/atom): 0.257

a = 6.674 Å, b = 18.245 Å, c = 3.435 Å
α = 90.00°, β = 90.00°, γ = 90.00°
Fractional coordinates of all 12 atoms:
La 0.000 0.000 0.000
La 0.500 0.500 0.500
Tb 0.219 0.351 0.500
Tb 0.281 0.851 0.000
Tb 0.719 0.149 0.000
Tb 0.781 0.649 0.500
Pr 0.000 0.500 0.000
Pr 0.500 0.000 0.500
Sm 0.221 0.187 0.000
Sm 0.279 0.687 0.500
Sm 0.721 0.313 0.500
Sm 0.779 0.813 0.000



(3)
La2TbPr2Sm2 | PBE | relaxed

Calculated values
Theoretical density (g/cm³): 6.9
Total DFT energy (no corrections) (eV/atom): -4.76
Density of states at the Fermi level (states/eV/atom): 1.753
ΔH_f (0 K) (eV/atom): 0.020

a = 6.365 Å, b = 6.365 Å, c = 8.245 Å
α = 97.49°, β = 97.49°, γ = 48.31°
Fractional coordinates of all 7 atoms:
La 0.142 0.142 0.426
La 0.858 0.858 0.574
Tb 0.000 0.000 0.000
Pr 0.285 0.285 0.859
Pr 0.715 0.715 0.141
Sm 0.430 0.430 0.284
Sm 0.570 0.570 0.716